(1)
# K2BeW GGA-PBE relaxed
data_K2BeW
_space_group_name_H-M_alt 'R 3 m'
_space_group_IT_number 160
_space_group_name_Hall 'R 3 -2"'
_cell_length_a 3.4600
_cell_length_b 3.4600
_cell_length_c 32.3165
_cell_angle_alpha 90.00
_cell_angle_beta 90.00
_cell_angle_gamma 120.00
loop_
_atom_site_label
_atom_site_type_symbol
_atom_site_fract_x
_atom_site_fract_y
_atom_site_fract_z
K1 K 0.0000 0.0000 0.0000
K2 K 0.0000 0.0000 0.2005
Be1 Be 0.0000 0.0000 0.4596
W1 W 0.0000 0.0000 0.7581
# V ... 111.7 Å³/f.u.
# Uncorrected energy ... -3.477 eV/atom
# Size of the total moment ... 3.13 μB per cell
# ΔE_f ... 1242 meV per atom

(2)
# KBe2W GGA-PBE relaxed
data_KBe2W
_space_group_name_H-M_alt 'I -4 m 2'
_space_group_IT_number 119
_space_group_name_Hall 'I -4 -2'
_cell_length_a 3.734
_cell_length_b 3.734
_cell_length_c 9.221
_cell_angle_alpha 90.00
_cell_angle_beta 90.00
_cell_angle_gamma 90.00
loop_
_atom_site_label
_atom_site_type_symbol
_atom_site_fract_x
_atom_site_fract_y
_atom_site_fract_z
K1 K 0.000 0.000 0.000
Be1 Be 0.000 0.000 0.500
Be2 Be 0.000 0.500 0.250
W1 W 0.000 0.500 0.750
# V ... 64.3 Å³/f.u.
# Uncorrected energy ... -3.645 eV/atom
# Size of the total moment ... 2.24 μB per cell
# ΔE_f ... 1731 meV per atom

(3)
# K2BeW GGA-PBE relaxed
data_K2BeW
_space_group_name_H-M_alt 'C m m m'
_space_group_IT_number 65
_space_group_name_Hall '-C 2 2'
_cell_length_a 3.140
_cell_length_b 4.696
_cell_length_c 12.015
_cell_angle_alpha 90.00
_cell_angle_beta 90.00
_cell_angle_gamma 90.00
loop_
_atom_site_label
_atom_site_type_symbol
_atom_site_fract_x
_atom_site_fract_y
_atom_site_fract_z
K1 K 0.000 0.000 0.244
Be1 Be 0.000 0.500 0.000
W1 W 0.000 0.500 0.500
# V ... 88.6 Å³/f.u.
# Uncorrected energy ... -3.225 eV/atom
# Size of the total moment ... 0.00 μB per cell
# ΔE_f ... 1494 meV per atom

(4)
# K2BeW GGA-PBE relaxed
data_K2BeW
_space_group_name_H-M_alt 'P m m m'
_space_group_IT_number 47
_cell_length_a 2.714
_cell_length_b 5.599
_cell_length_c 5.886
_cell_angle_alpha 90.00
_cell_angle_beta 90.00
_cell_angle_gamma 90.00
loop_
_space_group_symop_operation_xyz
'x,y,z'
'-x,-y,-z'
'-x,-y,z'
'x,y,-z'
'x,-y,-z'
'-x,y,z'
'-x,y,-z'
'x,-y,z'
loop_
_atom_site_label
_atom_site_type_symbol
_atom_site_fract_x
_atom_site_fract_y
_atom_site_fract_z
K1 K 0.000 0.248 0.000
Be1 Be 0.500 0.000 0.500
W1 W 0.500 0.500 0.500
# V ... 89.4 Å³/f.u.
# Uncorrected energy ... -3.081 eV/atom
# Size of the total moment ... 0.00 μB per cell
# ΔE_f ... 1637 meV per atom

(5)
# K2BeW GGA-PBE relaxed
data_K2BeW
_space_group_name_H-M_alt 'I m m 2'
_space_group_IT_number 44
_cell_length_a 2.772
_cell_length_b 6.267
_cell_length_c 12.634
_cell_angle_alpha 90.00
_cell_angle_beta 90.00
_cell_angle_gamma 90.00
loop_
_space_group_symop_operation_xyz
'x,y,z'
'-x,-y,z'
'-x,y,z'
'x,-y,z'
'x+1/2,y+1/2,z+1/2'
'-x+1/2,-y+1/2,z+1/2'
'-x+1/2,y+1/2,z+1/2'
'x+1/2,-y+1/2,z+1/2'
loop_
_atom_site_label
_atom_site_type_symbol
_atom_site_fract_x
_atom_site_fract_y
_atom_site_fract_z
K1 K 0.000 0.000 0.000
K2 K 0.000 0.500 0.205
Be1 Be 0.000 0.000 0.448
W1 W 0.000 0.500 0.801
# V ... 109.7 Å³/f.u.
# Uncorrected energy ... -3.423 eV/atom
# Size of the total moment ... 2.34 μB per cell
# ΔE_f ... 1295 meV per atom

(6)
# KBe2W GGA-PBE relaxed
data_KBe2W
_space_group_name_H-M_alt 'P 1 m 1'
_space_group_IT_number 6
_cell_length_a 2.637
_cell_length_b 3.882
_cell_length_c 7.726
_cell_angle_alpha 90.00
_cell_angle_beta 90.07
_cell_angle_gamma 90.00
loop_
_space_group_symop_operation_xyz
'x,y,z'
'x,-y,z'
loop_
_atom_site_label
_atom_site_type_symbol
_atom_site_fract_x
_atom_site_fract_y
_atom_site_fract_z
K1 K 0.000 0.000 0.000
Be1 Be 0.502 0.500 0.354
Be2 Be 0.503 0.000 0.520
W1 W 0.004 0.500 0.614
# V ... 79.1 Å³/f.u.
# Uncorrected energy ... -4.502 eV/atom
# Size of the total moment ... 0.00 μB per cell
# ΔE_f ... 873 meV per atom

(7)
# K2BeW GGA-PBE relaxed
data_K2BeW
_space_group_name_H-M_alt 'I -4 2 d'
_space_group_IT_number 122
_space_group_name_Hall 'I -4 2bw'
_cell_length_a 12.261
_cell_length_b 12.261
_cell_length_c 4.643
_cell_angle_alpha 90.00
_cell_angle_beta 90.00
_cell_angle_gamma 90.00
loop_
_atom_site_label
_atom_site_type_symbol
_atom_site_fract_x
_atom_site_fract_y
_atom_site_fract_z
K1 K 0.070 0.750 0.125
Be1 Be 0.000 0.000 0.000
W1 W 0.000 0.000 0.500
# V ... 174.5 Å³/f.u.
# Uncorrected energy ... -3.076 eV/atom
# Size of the total moment ... 16.01 μB per cell
# ΔE_f ... 1643 meV per atom

(8)
# K2BeW GGA-PBE relaxed
data_K2BeW
_space_group_name_H-M_alt 'P 4/m m m'
_space_group_IT_number 123
_space_group_name_Hall '-P 4 2'
_cell_length_a 6.587
_cell_length_b 6.587
_cell_length_c 2.653
_cell_angle_alpha 90.00
_cell_angle_beta 90.00
_cell_angle_gamma 90.00
loop_
_atom_site_label
_atom_site_type_symbol
_atom_site_fract_x
_atom_site_fract_y
_atom_site_fract_z
K1 K 0.000 0.500 0.000
Be1 Be 0.000 0.000 0.500
W1 W 0.500 0.500 0.500
# V ... 115.1 Å³/f.u.
# Uncorrected energy ... -2.903 eV/atom
# Size of the total moment ... 2.17 μB per cell
# ΔE_f ... 1816 meV per atom

(9)
# KBe2W GGA-PBE relaxed
data_KBe2W
_space_group_name_H-M_alt 'C 1 m 1'
_space_group_IT_number 8
_cell_length_a 9.393
_cell_length_b 2.534
_cell_length_c 6.622
_cell_angle_alpha 90.00
_cell_angle_beta 100.85
_cell_angle_gamma 90.00
loop_
_space_group_symop_operation_xyz
'x,y,z'
'x,-y,z'
'x+1/2,y+1/2,z'
'x+1/2,-y+1/2,z'
loop_
_atom_site_label
_atom_site_type_symbol
_atom_site_fract_x
_atom_site_fract_y
_atom_site_fract_z
K1 K 0.000 0.000 0.000
Be1 Be 0.283 0.500 0.329
Be2 Be 0.457 0.000 0.502
W1 W 0.187 0.000 0.578
# V ... 77.4 Å³/f.u.
# Uncorrected energy ... -4.444 eV/atom
# Size of the total moment ... 0.00 μB per cell
# ΔE_f ... 932 meV per atom

(10)
# KBe2W GGA-PBE relaxed
data_KBe2W
_space_group_name_H-M_alt 'I m m 2'
_space_group_IT_number 44
_cell_length_a 2.535
_cell_length_b 5.194
_cell_length_c 10.179
_cell_angle_alpha 90.00
_cell_angle_beta 90.00
_cell_angle_gamma 90.00
loop_
_space_group_symop_operation_xyz
'x,y,z'
'-x,-y,z'
'-x,y,z'
'x,-y,z'
'x+1/2,y+1/2,z+1/2'
'-x+1/2,-y+1/2,z+1/2'
'-x+1/2,y+1/2,z+1/2'
'x+1/2,-y+1/2,z+1/2'
loop_
_atom_site_label
_atom_site_type_symbol
_atom_site_fract_x
_atom_site_fract_y
_atom_site_fract_z
K1 K 0.000 0.000 0.000
Be1 Be 0.000 0.000 0.492
Be2 Be 0.000 0.500 0.790
W1 W 0.000 0.500 0.197
# V ... 67.0 Å³/f.u.
# Uncorrected energy ... -4.248 eV/atom
# Size of the total moment ... 0.00 μB per cell
# ΔE_f ... 1128 meV per atom

(11)
# KBe2W GGA-PBE relaxed
data_KBe2W
_space_group_name_H-M_alt 'F -4 3 m'
_space_group_IT_number 216
_space_group_name_Hall 'F -4 2 3'
_cell_length_a 6.463
_cell_length_b 6.463
_cell_length_c 6.463
_cell_angle_alpha 90.00
_cell_angle_beta 90.00
_cell_angle_gamma 90.00
loop_
_atom_site_label
_atom_site_type_symbol
_atom_site_fract_x
_atom_site_fract_y
_atom_site_fract_z
K1 K 0.000 0.000 0.000
Be1 Be 0.000 0.000 0.500
Be2 Be 0.250 0.250 0.750
W1 W 0.250 0.250 0.250
# V ... 67.5 Å³/f.u.
# Uncorrected energy ... -3.469 eV/atom
# Size of the total moment ... 11.45 μB per cell
# ΔE_f ... 1907 meV per atom

(12)
# K2BeW GGA-PBE relaxed
data_K2BeW
_space_group_name_H-M_alt 'C 1 2/m 1'
_space_group_IT_number 12
_cell_length_a 20.796
_cell_length_b 3.272
_cell_length_c 3.435
_cell_angle_alpha 90.00
_cell_angle_beta 97.81
_cell_angle_gamma 90.00
loop_
_space_group_symop_operation_xyz
'x,y,z'
'-x,-y,-z'
'-x,y,-z'
'x,-y,z'
'x+1/2,y+1/2,z'
'-x+1/2,-y+1/2,-z'
'-x+1/2,y+1/2,-z'
'x+1/2,-y+1/2,z'
loop_
_atom_site_label
_atom_site_type_symbol
_atom_site_fract_x
_atom_site_fract_y
_atom_site_fract_z
K1 K 0.145 0.000 0.118
Be1 Be 0.000 0.500 0.000
W1 W 0.000 0.000 0.500
# V ... 115.8 Å³/f.u.
# Uncorrected energy ... -3.712 eV/atom
# Size of the total moment ... 1.23 μB per cell
# ΔE_f ... 1007 meV per atom

(13)
# K4BeW GGA-PBE relaxed
data_K4BeW
_space_group_name_H-M_alt 'F -4 3 m'
_space_group_IT_number 216
_space_group_name_Hall 'F -4 2 3'
_cell_length_a 10.074
_cell_length_b 10.074
_cell_length_c 10.074
_cell_angle_alpha 90.00
_cell_angle_beta 90.00
_cell_angle_gamma 90.00
loop_
_atom_site_label
_atom_site_type_symbol
_atom_site_fract_x
_atom_site_fract_y
_atom_site_fract_z
K1 K 0.125 0.125 0.125
Be1 Be 0.000 0.000 0.500
W1 W 0.250 0.250 0.750
# V ... 255.6 Å³/f.u.
# Uncorrected energy ... -1.838 eV/atom
# Size of the total moment ... 20.17 μB per cell
# ΔE_f ... 1673 meV per atom

(14)
# KBe2W GGA-PBE relaxed
data_KBe2W
_space_group_name_H-M_alt 'P 4/m m m'
_space_group_IT_number 123
_space_group_name_Hall '-P 4 2'
_cell_length_a 4.880
_cell_length_b 4.880
_cell_length_c 2.595
_cell_angle_alpha 90.00
_cell_angle_beta 90.00
_cell_angle_gamma 90.00
loop_
_atom_site_label
_atom_site_type_symbol
_atom_site_fract_x
_atom_site_fract_y
_atom_site_fract_z
K1 K 0.000 0.000 0.000
Be1 Be 0.000 0.500 0.500
W1 W 0.500 0.500 0.000
# V ... 61.8 Å³/f.u.
# Uncorrected energy ... -4.360 eV/atom
# Size of the total moment ... 0.00 μB per cell
# ΔE_f ... 1016 meV per atom

(15)
# K2BeW GGA-PBE relaxed
data_K2BeW
_space_group_name_H-M_alt 'F -4 3 m'
_space_group_IT_number 216
_space_group_name_Hall 'F -4 2 3'
_cell_length_a 7.497
_cell_length_b 7.497
_cell_length_c 7.497
_cell_angle_alpha 90.00
_cell_angle_beta 90.00
_cell_angle_gamma 90.00
loop_
_atom_site_label
_atom_site_type_symbol
_atom_site_fract_x
_atom_site_fract_y
_atom_site_fract_z
K1 K 0.000 0.000 0.000
K2 K 0.250 0.250 0.250
Be1 Be 0.000 0.000 0.500
W1 W 0.250 0.250 0.750
# V ... 105.3 Å³/f.u.
# Uncorrected energy ... -2.850 eV/atom
# Size of the total moment ... 14.71 μB per cell
# ΔE_f ... 1868 meV per atom